A plane-wave DFT calculation with GGA+U was carried out for a relaxed BaMnPO4 crystal.

Cell lengths 5.803, 5.803, 5.803 Å; angles 60.00, 60.00, 60.00 degrees
Last column: magnetic moment on the atom in μB.
Element x y z (fractional)
Ba  0.750  0.750  0.750  -0.16
Mn  0.500  0.500  0.500  4.54
P  0.250  0.250  0.250  0.02
O  0.359  0.359  0.923  0.03
O  0.359  0.359  0.359  0.03
O  0.359  0.923  0.359  0.03
O  0.923  0.359  0.359  0.03

total energy = -48.40 eV/cell
symmetry = F-43m
DOS(E_F) = 0.380 states/eV/atom